Ba2Sn3Pd4Pt | PBE | optimized geometry

Cell and atoms, written as extended XYZ:
```
10
Lattice="4.710 0.000 0.000 0.000 4.710 0.000 0.000 0.000 10.906" Properties=species:S:1:pos:R:3 pbc="T T T"
Ba 0.000 2.355 2.637
Ba 2.355 0.000 8.268
Sn 0.000 0.000 0.000
Sn 0.000 2.355 6.747
Sn 2.355 0.000 4.159
Pd 0.000 0.000 5.453
Pd 0.000 2.355 9.459
Pd 2.355 0.000 1.447
Pd 2.355 2.355 5.453
Pt 2.355 2.355 0.000
```

Results
Formation enthalpy at 0 K: -605 kJ/mol of formula units
Space group: No. 115
Fermi-level density of states: 6.56 states/eV/f.u.
DFT total energy: -48.938 eV per cell